No. 1
# ZrAg2As

A relaxed structure of ZrAg2As (PBE-GGA, Alexandria).

The total energy is -39.51 eV per cell.

The space group is C2/m (No. 12) and the conventional cell measures 11.534, 3.026 and 4.739 Å, with angles of 90.00, 113.55 and 90.00 degrees. The asymmetric unit holds Zr at (0.000, 0.000, 0.000), Ag at (0.236, 0.000, 0.737) and As at (0.000, 0.500, 0.500).


No. 2
# ZrAg3As

A relaxed structure of ZrAg3As (PBE-GGA, Alexandria).

The total energy is -14.71 eV per cell.

The space group is Pm-3m (No. 221) and the conventional cell measures 5.232, 5.232 and 5.232 Å, with angles of 90.00, 90.00 and 90.00 degrees. The asymmetric unit holds Zr at (0.000, 0.000, 0.000), Ag at (0.000, 0.000, 0.500) and As at (0.500, 0.500, 0.500).


No. 3
# Zr2Ag2As

A relaxed structure of Zr2Ag2As (PBE-GGA, Alexandria).

The total energy is -51.02 eV per cell.

The space group is I4/mmm (No. 139) and the conventional cell measures 4.150, 4.150 and 13.155 Å, with angles of 90.00, 90.00 and 90.00 degrees. The asymmetric unit holds Zr at (0.000, 0.500, 0.250), Ag at (0.000, 0.000, 0.098) and As at (0.000, 0.000, 0.500).


No. 4
# ZrAg2As

A relaxed structure of ZrAg2As (PBE-GGA, Alexandria).

The total energy is -19.17 eV per cell.

The space group is P4/mmm (No. 123) and the conventional cell measures 3.780, 3.780 and 5.524 Å, with angles of 90.00, 90.00 and 90.00 degrees. The asymmetric unit holds Zr at (0.000, 0.000, 0.000), Ag at (0.500, 0.500, 0.251) and As at (0.000, 0.000, 0.500).


No. 5
# Zr2AgAs

A relaxed structure of Zr2AgAs (PBE-GGA, Alexandria).

The total energy is -52.50 eV per cell.

The space group is Cmmm (No. 65) and the conventional cell measures 6.116, 7.493 and 3.406 Å, with angles of 90.00, 90.00 and 90.00 degrees. The asymmetric unit holds Zr at (0.250, 0.250, 0.000), Ag at (0.000, 0.000, 0.500) and As at (0.000, 0.500, 0.500).


No. 6
# Zr2AgAs

A relaxed structure of Zr2AgAs (PBE-GGA, Alexandria).

The total energy is -53.22 eV per cell.

The space group is Amm2 (No. 38) and the conventional cell measures 3.946, 3.755 and 10.832 Å, with angles of 90.00, 90.00 and 90.00 degrees. The asymmetric unit holds Zr at (0.000, 0.000, 0.000), Zr at (0.500, 0.000, 0.313), Ag at (0.000, 0.000, 0.731) and As at (0.500, 0.000, 0.570).


| no. | ΔH_f (0 K) (eV/atom) |
| --- | --- |
| 1 | -0.214 |
| 2 | 1.408 |
| 3 | 0.387 |
| 4 | -0.067 |
| 5 | -0.413 |
| 6 | -0.503 |